Compound: CaRhCl2
Source: Alexandria
Functional: PBE-GGA
Structure: relaxed

Cell lengths 3.504, 3.504, 7.503 Å; angles 90.00, 90.00, 90.00 degrees
Element x y z (fractional)
Ca: 0.000 0.000 0.000
Rh: 0.500 0.500 0.702
Cl: 0.000 0.000 0.644
Cl: 0.500 0.500 0.182

DOS at the Fermi energy = 1.4 states/eV/f.u.
Electronic total energy = -16.63 eV for the cell shown
Total moment = 0.07 μB/atom
Energy relative to the elements, uncorrected = -897 meV per atom

***

Compound: CaRhCl2
Source: Alexandria
Functional: PBE-GGA
Structure: relaxed

Cell lengths 3.834, 3.834, 5.652 Å; angles 90.00, 90.00, 90.00 degrees
Element x y z (fractional)
Ca: 0.000 0.000 0.000
Rh: 0.500 0.500 0.701
Cl: 0.000 0.000 0.531
Cl: 0.500 0.500 0.128

DOS at the Fermi energy = 3.3 states/eV/f.u.
Electronic total energy = -16.47 eV for the cell shown
Total moment = 0.25 μB/atom
Energy relative to the elements, uncorrected = -855 meV per atom

***

Compound: CaRhCl3
Source: Alexandria
Functional: PBE-GGA
Structure: relaxed

Cell lengths 5.288, 5.288, 5.288 Å; angles 90.00, 90.00, 90.00 degrees
Element x y z (fractional)
Ca: 0.000 0.000 0.000
Rh: 0.500 0.500 0.500
Cl: 0.000 0.000 0.500
Cl: 0.000 0.500 0.000
Cl: 0.500 0.000 0.000

DOS at the Fermi energy = 18.2 states/eV/f.u.
Electronic total energy = -18.29 eV for the cell shown
Total moment = 0.40 μB/atom
Energy relative to the elements, uncorrected = -680 meV per atom

***

Compound: CaRhCl2
Source: Alexandria
Functional: PBE-GGA
Structure: relaxed

Cell lengths 6.384, 6.384, 4.983 Å; angles 91.73, 91.73, 32.29 degrees
Element x y z (fractional)
Ca: 0.000 0.000 0.000
Rh: 0.500 0.500 0.500
Cl: 0.352 0.352 0.778
Cl: 0.648 0.648 0.222

DOS at the Fermi energy = 3.7 states/eV/f.u.
Electronic total energy = -16.99 eV for the cell shown
Total moment = 0.11 μB/atom
Energy relative to the elements, uncorrected = -986 meV per atom

***

Compound: CaRh2Cl
Source: Alexandria
Functional: PBE-GGA
Structure: relaxed

Cell lengths 5.188, 5.188, 5.188 Å; angles 137.50, 121.49, 74.96 degrees
Element x y z (fractional)
Ca: 0.000 0.000 0.000
Rh: 0.323 0.823 0.500
Rh: 0.528 0.528 0.000
Cl: 0.717 0.217 0.500

DOS at the Fermi energy = 4.7 states/eV/f.u.
Electronic total energy = -19.02 eV for the cell shown
Total moment = 0.25 μB/atom
Energy relative to the elements, uncorrected = -116 meV per atom

***

Compound: CaRhSCl2
Source: Alexandria
Functional: PBE-GGA
Structure: relaxed

Cell lengths 4.741, 4.741, 4.859 Å; angles 90.00, 90.00, 90.00 degrees
Element x y z (fractional)
Ca: 0.000 0.000 0.000
Rh: 0.500 0.500 0.500
S: 0.500 0.500 0.000
Cl: 0.000 0.500 0.500
Cl: 0.500 0.000 0.500

DOS at the Fermi energy = 2.2 states/eV/f.u.
Electronic total energy = -21.67 eV for the cell shown
Total moment = 0.00 μB/atom
Energy relative to the elements, uncorrected = -899 meV per atom

***

Compound: CaRhSCl2
Source: Alexandria
Functional: PBE-GGA
Structure: relaxed

Cell lengths 5.159, 5.159, 5.542 Å; angles 90.00, 90.00, 90.00 degrees
Element x y z (fractional)
Ca: 0.000 0.000 0.000
Rh: 0.500 0.500 0.500
S: 0.000 0.000 0.500
Cl: 0.000 0.500 0.000
Cl: 0.500 0.000 0.000

DOS at the Fermi energy = 3.1 states/eV/f.u.
Electronic total energy = -18.06 eV for the cell shown
Total moment = 0.60 μB/atom
Energy relative to the elements, uncorrected = -178 meV per atom

***

Compound: CaTl2RhCl
Source: Alexandria
Functional: PBE-GGA
Structure: relaxed

Cell lengths 5.287, 5.287, 5.112 Å; angles 90.00, 90.00, 90.00 degrees
Element x y z (fractional)
Ca: 0.000 0.000 0.000
Tl: 0.000 0.500 0.500
Tl: 0.500 0.000 0.500
Rh: 0.500 0.500 0.500
Cl: 0.500 0.500 0.000

DOS at the Fermi energy = 2.3 states/eV/f.u.
Electronic total energy = -16.62 eV for the cell shown
Total moment = 0.00 μB/atom
Energy relative to the elements, uncorrected = -137 meV per atom

***

Compound: CaVRh2Cl
Source: Alexandria
Functional: PBE-GGA
Structure: relaxed

Cell lengths 4.825, 4.825, 4.904 Å; angles 90.00, 90.00, 90.00 degrees
Element x y z (fractional)
Ca: 0.000 0.000 0.000
V: 0.500 0.500 0.500
Rh: 0.000 0.500 0.000
Rh: 0.500 0.000 0.000
Cl: 0.000 0.000 0.500

DOS at the Fermi energy = 10.1 states/eV/f.u.
Electronic total energy = -21.15 eV for the cell shown
Total moment = 0.13 μB/atom
Energy relative to the elements, uncorrected = 1303 meV per atom

***

Compound: CaRuCl2
Source: Alexandria
Functional: PBE-GGA
Structure: relaxed

Cell lengths 3.365, 3.365, 8.110 Å; angles 90.00, 90.00, 90.00 degrees
Element x y z (fractional)
Ca: 0.000 0.000 0.000
Ru: 0.500 0.500 0.719
Cl: 0.000 0.000 0.638
Cl: 0.500 0.500 0.184

DOS at the Fermi energy = 1.8 states/eV/f.u.
Electronic total energy = -17.39 eV for the cell shown
Total moment = 0.10 μB/atom
Energy relative to the elements, uncorrected = -604 meV per atom

***

Compound: CaRuCl
Source: Alexandria
Functional: PBE-GGA
Structure: relaxed

Cell lengths 3.394, 3.394, 6.571 Å; angles 90.00, 90.00, 120.00 degrees
Element x y z (fractional)
Ca: 0.000 0.000 0.000
Ru: 0.333 0.667 0.656
Cl: 0.667 0.333 0.292

DOS at the Fermi energy = 2.4 states/eV/f.u.
Electronic total energy = -13.20 eV for the cell shown
Total moment = 0.64 μB/atom
Energy relative to the elements, uncorrected = -27 meV per atom

***

Compound: CaRu2Cl
Source: Alexandria
Functional: PBE-GGA
Structure: relaxed

Cell lengths 6.740, 6.734, 3.613 Å; angles 74.53, 74.36, 31.11 degrees
Element x y z (fractional)
Ca: 0.000 0.000 0.000
Ru: 0.000 0.500 0.000
Ru: 0.500 0.000 0.500
Cl: 0.500 0.500 0.500

DOS at the Fermi energy = 2.7 states/eV/f.u.
Electronic total energy = -22.06 eV for the cell shown
Total moment = 0.00 μB/atom
Energy relative to the elements, uncorrected = 86 meV per atom

***

> Among the records above, which one has the highest total moment?

CaRuCl

***

> What is the energy relative to the elements, uncorrected in the ninth record?

1303 meV per atom

***

> The lowest electronic total energy belongs to which entry?

CaRu2Cl